(1)
Density functional theory data (PBE-GGA) for a geometry-optimized TbSm2Dy3Y6 structure.

POSCAR file:
```
TbSm2Dy3Y6
1.0
6.187 0.002 0.010
-3.090 5.360 0.010
-1.044 -1.808 11.641
Dy Y Sm Tb
3 6 2 1
Direct
0.167 0.833 0.500
0.833 0.167 0.500
0.500 0.500 0.500
0.417 0.084 0.252
0.084 0.417 0.252
0.583 0.916 0.748
0.249 0.249 0.748
0.916 0.583 0.748
0.751 0.751 0.252
0.667 0.333 0.000
0.333 0.667 0.000
0.000 0.000 0.000
```

Formation enthalpy at 0 K: 0.02 eV per atom
Space-group type: No. 12

---

(2)
Density functional theory data (PBE-GGA) for a geometry-optimized Tb2SmDy6Y structure.

POSCAR file:
```
Tb2SmDy6Y
1.0
9.097 -2.113 -2.193
0.836 8.508 -2.036
0.836 -2.350 8.427
Tb Dy Y Sm
4 12 2 2
Direct
0.956 0.699 0.803
0.544 0.197 0.301
0.044 0.301 0.197
0.456 0.803 0.699
0.683 0.021 0.569
0.444 0.251 0.877
0.880 0.291 0.506
0.120 0.709 0.494
0.056 0.123 0.749
0.620 0.494 0.709
0.556 0.749 0.123
0.817 0.431 0.979
0.183 0.569 0.021
0.380 0.506 0.291
0.944 0.877 0.251
0.317 0.979 0.431
0.750 0.592 0.408
0.250 0.408 0.592
0.750 0.023 0.977
0.250 0.977 0.023
```

Formation enthalpy at 0 K: 0.12 eV per atom
Space-group type: No. 15

---

(3)
Density functional theory data (PBE-GGA) for a geometry-optimized TbSm2DyY2 structure.

POSCAR file:
```
TbSm2DyY2
1.0
3.401 0.000 0.000
0.000 6.615 0.000
0.000 0.000 17.726
Sm Dy Y Tb
4 2 4 2
Direct
0.000 0.732 0.148
0.000 0.268 0.852
0.500 0.232 0.352
0.500 0.768 0.648
0.500 0.500 0.000
0.000 0.000 0.500
0.500 0.266 0.681
0.000 0.234 0.181
0.500 0.734 0.319
0.000 0.766 0.819
0.500 0.500 0.500
0.000 0.000 0.000
```

Formation enthalpy at 0 K: 0.26 eV per atom
Space-group type: No. 58

---

(4)
Density functional theory data (PBE-GGA) for a geometry-optimized Tb4Sm2Dy2Y structure.

POSCAR file:
```
Tb4Sm2Dy2Y
1.0
-1.355 -3.189 -0.856
7.297 0.505 -5.991
5.177 -3.801 5.972
Dy Tb Y Sm
2 4 1 2
Direct
0.667 0.334 0.001
0.333 0.666 0.999
0.222 0.444 0.332
0.444 0.888 0.667
0.556 0.112 0.333
0.778 0.556 0.668
0.000 0.000 0.000
0.111 0.223 0.668
0.889 0.777 0.332
```

Formation enthalpy at 0 K: 0.02 eV per atom
Space-group type: No. 12

---

(5)
Density functional theory data (PBE-GGA) for a geometry-optimized Tb5Sm2DyY structure.

POSCAR file:
```
Tb5Sm2DyY
1.0
8.630 0.000 0.000
0.000 8.630 0.000
-4.315 -4.315 7.883
Tb Dy Sm Y
10 2 4 2
Direct
0.850 0.929 0.279
0.429 0.350 0.279
0.350 0.850 0.279
0.500 0.500 0.000
0.929 0.429 0.279
0.071 0.571 0.721
0.571 0.650 0.721
0.000 0.000 0.000
0.650 0.150 0.721
0.150 0.071 0.721
0.750 0.250 0.500
0.250 0.750 0.500
0.882 0.618 0.000
0.618 0.118 0.000
0.382 0.882 0.000
0.118 0.382 0.000
0.750 0.750 0.500
0.250 0.250 0.500
```

Formation enthalpy at 0 K: 0.28 eV per atom
Space-group type: No. 140

---

(6)
Density functional theory data (PBE-GGA) for a geometry-optimized TbSm3Dy2Y6 structure.

POSCAR file:
```
TbSm3Dy2Y6
1.0
-0.369 -5.648 -2.535
5.513 2.283 1.690
-3.020 -3.554 10.878
Sm Y Dy Tb
3 6 2 1
Direct
0.833 0.167 0.500
0.167 0.833 0.500
0.500 0.500 0.500
0.750 0.750 0.248
0.250 0.250 0.752
0.584 0.917 0.752
0.083 0.416 0.248
0.917 0.584 0.752
0.416 0.083 0.248
0.667 0.333 0.000
0.333 0.667 0.000
0.000 0.000 0.000
```

Formation enthalpy at 0 K: 0.02 eV per atom
Space-group type: No. 12

---

(7)
Density functional theory data (PBE-GGA) for a geometry-optimized Tb2Sm4Dy2Y structure.

POSCAR file:
```
Tb2Sm4Dy2Y
1.0
-1.301 1.588 -4.641
3.246 -7.315 -0.639
-7.745 -0.950 1.846
Sm Dy Tb Y
4 2 2 1
Direct
0.445 0.890 0.667
0.223 0.445 0.333
0.777 0.555 0.667
0.555 0.110 0.333
0.333 0.666 0.000
0.667 0.334 0.000
0.111 0.223 0.668
0.889 0.777 0.332
0.000 0.000 0.000
```

Formation enthalpy at 0 K: 0.02 eV per atom
Space-group type: No. 12

---

(8)
Density functional theory data (PBE-GGA) for a geometry-optimized Tb6SmDyY2 structure.

POSCAR file:
```
Tb6SmDyY2
1.0
-6.781 -6.070 -2.728
6.501 -5.747 -1.585
-3.043 0.489 8.265
Tb Y Dy Sm
12 4 2 2
Direct
0.684 0.015 0.564
0.383 0.514 0.292
0.557 0.755 0.120
0.943 0.880 0.245
0.316 0.985 0.436
0.057 0.120 0.755
0.883 0.292 0.514
0.117 0.708 0.486
0.184 0.564 0.015
0.443 0.245 0.880
0.816 0.436 0.985
0.617 0.486 0.708
0.453 0.800 0.698
0.547 0.200 0.302
0.047 0.302 0.200
0.953 0.698 0.800
0.250 0.410 0.590
0.750 0.590 0.410
0.250 0.971 0.029
0.750 0.029 0.971
```

Formation enthalpy at 0 K: 0.12 eV per atom
Space-group type: No. 15

---

(9)
Density functional theory data (PBE-GGA) for a geometry-optimized Tb5SmDy2Y structure.

POSCAR file:
```
Tb5SmDy2Y
1.0
5.617 0.000 0.000
-2.808 10.019 0.000
0.000 0.000 10.576
Tb Dy Sm Y
10 4 2 2
Direct
0.017 0.034 0.024
0.983 0.966 0.524
0.521 0.043 0.239
0.608 0.217 0.524
0.300 0.600 0.708
0.700 0.400 0.208
0.479 0.957 0.739
0.280 0.560 0.308
0.392 0.783 0.024
0.720 0.440 0.808
0.110 0.221 0.736
0.890 0.779 0.236
0.886 0.772 0.819
0.114 0.228 0.319
0.800 0.599 0.512
0.200 0.401 0.012
0.413 0.825 0.455
0.587 0.175 0.955
```

Formation enthalpy at 0 K: 0.16 eV per atom
Space-group type: No. 36

---

(10)
Density functional theory data (PBE-GGA) for a geometry-optimized Tb2SmDy3Y6 structure.

POSCAR file:
```
Tb2SmDy3Y6
1.0
6.176 0.001 0.008
-3.085 5.350 0.008
-1.041 -1.802 11.631
Y Dy Tb Sm
6 3 2 1
Direct
0.750 0.750 0.251
0.418 0.084 0.251
0.084 0.418 0.251
0.582 0.916 0.749
0.916 0.582 0.749
0.250 0.250 0.749
0.500 0.500 0.500
0.167 0.833 0.500
0.833 0.167 0.500
0.667 0.333 0.000
0.333 0.667 0.000
0.000 0.000 0.000
```

Formation enthalpy at 0 K: 0.02 eV per atom
Space-group type: No. 12

---

(11)
Density functional theory data (PBE-GGA) for a geometry-optimized TbSmDy2Y2 structure.

POSCAR file:
```
TbSmDy2Y2
1.0
3.397 0.000 0.000
0.000 6.590 0.000
0.000 0.000 17.743
Tb Y Dy Sm
2 4 4 2
Direct
0.000 0.000 0.000
0.500 0.500 0.500
0.000 0.768 0.184
0.000 0.232 0.816
0.500 0.268 0.316
0.500 0.732 0.684
0.500 0.768 0.352
0.000 0.268 0.148
0.000 0.732 0.852
0.500 0.232 0.648
0.000 0.000 0.500
0.500 0.500 0.000
```

Formation enthalpy at 0 K: 0.27 eV per atom
Space-group type: No. 58

---

(12)
Density functional theory data (PBE-GGA) for a geometry-optimized TbSm2Dy2Y structure.

POSCAR file:
```
TbSm2Dy2Y
1.0
3.401 0.000 0.000
0.000 6.589 0.000
0.000 0.000 17.868
Sm Dy Y Tb
4 4 2 2
Direct
0.000 0.768 0.184
0.000 0.232 0.816
0.500 0.268 0.316
0.500 0.732 0.684
0.500 0.229 0.647
0.000 0.729 0.853
0.000 0.271 0.147
0.500 0.771 0.353
0.500 0.500 0.000
0.000 0.000 0.500
0.500 0.500 0.500
0.000 0.000 0.000
```

Formation enthalpy at 0 K: 0.27 eV per atom
Space-group type: No. 58

---

(13)
Density functional theory data (PBE-GGA) for a geometry-optimized Tb6Sm2Dy3Y structure.

POSCAR file:
```
Tb6Sm2Dy3Y
1.0
6.178 0.001 0.012
-3.086 5.352 0.012
-1.047 -1.813 11.645
Dy Sm Tb Y
3 2 6 1
Direct
0.834 0.166 0.500
0.500 0.500 0.500
0.166 0.834 0.500
0.667 0.333 0.000
0.333 0.667 0.000
0.751 0.751 0.252
0.085 0.418 0.252
0.915 0.582 0.748
0.582 0.915 0.748
0.418 0.085 0.252
0.249 0.249 0.748
0.000 0.000 0.000
```

Formation enthalpy at 0 K: 0.01 eV per atom
Space-group type: No. 12

---

(14)
Density functional theory data (PBE-GGA) for a geometry-optimized Tb3Sm6DyY2 structure.

POSCAR file:
```
Tb3Sm6DyY2
1.0
6.233 0.002 0.012
-3.114 5.400 0.012
-1.054 -1.825 11.686
Sm Tb Y Dy
6 3 2 1
Direct
0.249 0.249 0.750
0.416 0.084 0.250
0.751 0.751 0.250
0.084 0.416 0.250
0.584 0.916 0.750
0.916 0.584 0.750
0.500 0.500 0.500
0.167 0.833 0.500
0.833 0.167 0.500
0.333 0.667 0.000
0.667 0.333 0.000
0.000 0.000 0.000
```

Formation enthalpy at 0 K: 0.01 eV per atom
Space-group type: No. 12

---

(15)
Density functional theory data (PBE-GGA) for a geometry-optimized TbSm2DyY structure.

POSCAR file:
```
TbSm2DyY
1.0
7.221 0.000 0.000
0.000 8.363 0.000
0.000 -4.182 5.799
Tb Sm Dy Y
2 4 2 2
Direct
0.750 0.286 0.573
0.250 0.714 0.427
0.000 0.693 0.000
0.000 0.307 0.000
0.500 0.693 0.000
0.500 0.307 0.000
0.250 0.977 0.954
0.750 0.023 0.046
0.250 0.259 0.519
0.750 0.741 0.481
```

Formation enthalpy at 0 K: 0.41 eV per atom
Space-group type: No. 63

---

(16)
Density functional theory data (PBE-GGA) for a geometry-optimized TbSm2Dy6Y3 structure.

POSCAR file:
```
TbSm2Dy6Y3
1.0
6.173 0.002 0.010
-3.084 5.348 0.010
-1.042 -1.804 11.629
Dy Y Sm Tb
6 3 2 1
Direct
0.084 0.417 0.251
0.583 0.916 0.749
0.417 0.084 0.251
0.751 0.751 0.251
0.249 0.249 0.749
0.916 0.583 0.749
0.833 0.167 0.500
0.167 0.833 0.500
0.500 0.500 0.500
0.333 0.667 0.000
0.667 0.333 0.000
0.000 0.000 0.000
```

Formation enthalpy at 0 K: 0.02 eV per atom
Space-group type: No. 12

---

(17)
Density functional theory data (PBE-GGA) for a geometry-optimized Tb2SmDy6Y2 structure.

POSCAR file:
```
Tb2SmDy6Y2
1.0
6.601 -0.620 -0.512
-3.801 5.432 -0.512
-1.833 -3.150 11.405
Y Tb Dy Sm
2 2 6 1
Direct
0.864 0.136 0.000
0.136 0.864 0.000
0.704 0.296 0.500
0.296 0.704 0.500
0.289 0.289 0.290
0.447 0.142 0.794
0.553 0.858 0.206
0.711 0.711 0.710
0.858 0.553 0.206
0.142 0.447 0.794
0.000 0.000 0.500
```

Formation enthalpy at 0 K: 0.16 eV per atom
Space-group type: No. 12

---

(18)
Density functional theory data (PBE-GGA) for a geometry-optimized Tb2SmDy2Y2 structure.

POSCAR file:
```
Tb2SmDy2Y2
1.0
-5.092 -2.385 0.805
-2.731 -2.405 -4.362
0.998 -8.731 0.490
Dy Sm Y Tb
2 1 2 2
Direct
0.426 0.426 0.721
0.574 0.574 0.279
0.000 0.000 0.000
0.859 0.859 0.422
0.141 0.141 0.578
0.720 0.720 0.841
0.280 0.280 0.159
```

Formation enthalpy at 0 K: 0.14 eV per atom
Space-group type: No. 166

---

(19)
Density functional theory data (PBE-GGA) for a geometry-optimized TbSmDy3Y structure.

POSCAR file:
```
TbSmDy3Y
1.0
-4.645 -0.222 3.370
0.534 -8.571 -4.721
4.047 -2.677 5.402
Dy Sm Tb Y
6 2 2 2
Direct
0.523 0.046 0.746
0.216 0.433 0.249
0.477 0.954 0.254
0.169 0.338 0.748
0.784 0.567 0.751
0.831 0.662 0.252
0.041 0.083 0.251
0.959 0.917 0.749
0.352 0.704 0.539
0.648 0.296 0.461
0.648 0.295 0.037
0.352 0.705 0.963
```

Formation enthalpy at 0 K: 0.20 eV per atom
Space-group type: No. 12